[1]
Here is BaCd2As2 after structural relaxation from Alexandria via LeMat-Bulk. Energies are from PBE.

The structure in POSCAR format:
```
BaCd2As2
1.0
4.593 0.000 0.000
-2.296 3.978 0.000
0.000 0.000 7.774
As Cd Ba
2 2 1
Cartesian
2.296 1.326 5.730
0.000 2.652 2.043
0.000 2.652 4.896
2.296 1.326 2.877
0.000 0.000 0.000
```

Computed properties:
Mass density (g/cm3): 5.987
N(E_F) (states/eV per cell): 0.1
Space group: P-3m1, No. 164
Formation energy from the elements (eV/atom): -0.64



[2]
Here is BaCdAs after structural relaxation from Alexandria via LeMat-Bulk. Energies are from PBE.

The structure in POSCAR format:
```
BaCdAs
1.0
5.403 0.000 0.000
2.702 4.679 0.000
2.702 1.560 4.412
Ba As Cd
1 1 1
Cartesian
8.105 4.679 3.309
5.403 3.120 2.206
0.000 0.000 0.000
```

Computed properties:
Mass density (g/cm3): 4.833
N(E_F) (states/eV per cell): 2.0
Space group: F-43m, No. 216
Formation energy from the elements (eV/atom): -0.19



[3]
Here is BaCd2As after structural relaxation from Alexandria via LeMat-Bulk. Energies are from PBE.

The structure in POSCAR format:
```
BaCd2As
1.0
4.605 -0.002 0.000
2.302 3.988 0.000
2.311 1.333 6.647
As Cd Ba
1 2 1
Cartesian
4.608 2.659 3.790
2.312 1.334 6.170
6.912 3.989 4.824
2.305 1.330 1.831
```

Computed properties:
Mass density (g/cm3): 5.943
N(E_F) (states/eV per cell): 1.4
Space group: Cm, No. 8
Formation energy from the elements (eV/atom): -0.42



[4]
Here is Ba2CdAs after structural relaxation from Alexandria via LeMat-Bulk. Energies are from PBE.

The structure in POSCAR format:
```
Ba2CdAs
1.0
-4.375 -1.692 1.486
2.178 -4.003 1.856
0.795 3.212 5.996
Ba As Cd
2 1 1
Cartesian
0.696 2.815 5.256
-0.802 -1.649 3.908
-0.405 -0.043 6.906
0.300 1.212 2.263
```

Computed properties:
Mass density (g/cm3): 4.626
N(E_F) (states/eV per cell): 4.3
Space group: P4mm, No. 99
Formation energy from the elements (eV/atom): -0.47